Record 1
Density functional theory data (PBE) for a relaxed K4Pm3AlTe8 crystal.

Values from the calculation:
E_form (uncorrected) (eV/atom): -1.19
Total energy (eV per formula unit): -66.53
Crystal system: trigonal
Magnetic moment (μB per cell): 0.0

a b c (Å): 9.0294 9.0294 24.7372
angles (deg): 90.00 90.00 120.00
Space group R-3m (No. 166, hexagonal axes)
Symmetry-distinct sites (fractional):
K 0.0000 0.0000 0.0000 [3 per cell]
K 0.0000 0.5000 0.0000 [9 per cell]
Pm 0.0000 0.5000 0.5000 [9 per cell]
Al 0.0000 0.0000 0.5000 [3 per cell]
Te 0.0000 0.0000 0.2387 [6 per cell]
Te 0.0247 0.5124 0.2339 [18 per cell]

Record 2
Density functional theory data (PBE) for a relaxed K3Pm3AlTe8 crystal.

Values from the calculation:
E_form (uncorrected) (eV/atom): -1.11
Total energy (eV per formula unit): -63.06
Crystal system: trigonal
Magnetic moment (μB per cell): 0.0

a b c (Å): 8.8580 8.8580 25.7036
angles (deg): 90.00 90.00 120.00
Space group R-3m (No. 166, hexagonal axes)
Symmetry-distinct sites (fractional):
K 0.0000 0.5000 0.0000 [9 per cell]
Pm 0.0000 0.5000 0.5000 [9 per cell]
Al 0.0000 0.0000 0.5000 [3 per cell]
Te 0.0000 0.0000 0.2385 [6 per cell]
Te 0.0280 0.5140 0.2325 [18 per cell]

Record 3
Density functional theory data (PBE) for a relaxed K4Pr3AlS8 crystal.

Values from the calculation:
E_form (uncorrected) (eV/atom): -1.60
Total energy (eV per formula unit): -81.05
Crystal system: trigonal
Magnetic moment (μB per cell): 0.0

a b c (Å): 8.2051 8.2051 22.2017
angles (deg): 90.00 90.00 120.00
Space group R-3m (No. 166, hexagonal axes)
Symmetry-distinct sites (fractional):
K 0.0000 0.0000 0.0000 [3 per cell]
K 0.0000 0.5000 0.0000 [9 per cell]
Pr 0.0000 0.5000 0.5000 [9 per cell]
Al 0.0000 0.0000 0.5000 [3 per cell]
S 0.0000 0.0000 0.2376 [6 per cell]
S 0.0315 0.5157 0.2322 [18 per cell]

Record 4
Density functional theory data (PBE) for a relaxed K3Pr3AlS8 crystal.

Values from the calculation:
E_form (uncorrected) (eV/atom): -1.51
Total energy (eV per formula unit): -77.10
Crystal system: monoclinic
Magnetic moment (μB per cell): 0.0

a b c (Å): 14.168 8.170 8.895
angles (deg): 90.00 122.10 90.00
Space group C2/m (No. 12)
Symmetry-distinct sites (fractional):
K 0.000 0.000 0.000 [2 per cell]
K 0.250 0.250 0.000 [4 per cell]
Pr 0.000 0.500 0.500 [2 per cell]
Pr 0.250 0.250 0.500 [4 per cell]
Al 0.000 0.000 0.500 [2 per cell]
S 0.011 0.221 0.312 [8 per cell]
S 0.209 0.000 0.687 [4 per cell]
S 0.237 0.500 0.711 [4 per cell]

Record 5
Density functional theory data (PBE) for a relaxed K2PrAlSe4 crystal.

Values from the calculation:
E_form (uncorrected) (eV/atom): -1.26
Total energy (eV per formula unit): -34.70
Crystal system: orthorhombic
Magnetic moment (μB per cell): 0.0

a b c (Å): 8.277 8.906 12.243
angles (deg): 90.00 90.00 90.00
Space group Imma (No. 74)
Symmetry-distinct sites (fractional):
K 0.000 0.000 0.000 [4 per cell]
K 0.250 0.250 0.250 [4 per cell]
Pr 0.000 0.000 0.500 [4 per cell]
Al 0.250 0.250 0.750 [4 per cell]
Se 0.000 0.053 0.745 [8 per cell]
Se 0.237 0.250 0.526 [8 per cell]

Record 6
Density functional theory data (PBE) for a relaxed K4Pr3AlTe8 crystal.

Values from the calculation:
E_form (uncorrected) (eV/atom): -1.18
Total energy (eV per formula unit): -66.56
Crystal system: trigonal
Magnetic moment (μB per cell): 0.0

a b c (Å): 9.1206 9.1206 24.7662
angles (deg): 90.00 90.00 120.00
Space group R-3m (No. 166, hexagonal axes)
Symmetry-distinct sites (fractional):
K 0.0000 0.0000 0.0000 [3 per cell]
K 0.0000 0.5000 0.0000 [9 per cell]
Pr 0.0000 0.5000 0.5000 [9 per cell]
Al 0.0000 0.0000 0.5000 [3 per cell]
Te 0.0000 0.0000 0.2397 [6 per cell]
Te 0.0276 0.5138 0.2344 [18 per cell]

Repeat the fourth record exactly.
Density functional theory data (PBE) for a relaxed K3Pr3AlS8 crystal.

Values from the calculation:
E_form (uncorrected) (eV/atom): -1.51
Total energy (eV per formula unit): -77.10
Crystal system: monoclinic
Magnetic moment (μB per cell): 0.0

a b c (Å): 14.168 8.170 8.895
angles (deg): 90.00 122.10 90.00
Space group C2/m (No. 12)
Symmetry-distinct sites (fractional):
K 0.000 0.000 0.000 [2 per cell]
K 0.250 0.250 0.000 [4 per cell]
Pr 0.000 0.500 0.500 [2 per cell]
Pr 0.250 0.250 0.500 [4 per cell]
Al 0.000 0.000 0.500 [2 per cell]
S 0.011 0.221 0.312 [8 per cell]
S 0.209 0.000 0.687 [4 per cell]
S 0.237 0.500 0.711 [4 per cell]

Q: Which of these has the lowest total energy?
A: K4Pr3AlS8

Q: magnetic moment of number 1 (K4Pm3AlTe8)?
A: 0.0 μB per cell